VASP calculation (PBE) on K2NaGaCl6 after structural relaxation.

Cell lengths 7.2461, 7.2461, 7.2461 Å; angles 60.00, 60.00, 60.00 degrees
With the nearest neighbours (Å) after each atom.
Positions (direct):
1 Cl 0.2332 0.2332 0.7668  1 Ga 2.39
2 Cl 0.7668 0.2332 0.2332  1 Ga 2.39
3 K 0.7500 0.7500 0.7500  12 Cl 3.63
4 Cl 0.7668 0.7668 0.2332  1 Ga 2.39
5 Na 0.5000 0.5000 0.5000  6 Cl 2.73
6 Ga 0.0000 0.0000 0.0000  6 Cl 2.39
7 K 0.2500 0.2500 0.2500  12 Cl 3.63
8 Cl 0.2332 0.7668 0.7668  1 Ga 2.39
9 Cl 0.7668 0.2332 0.7668  1 Ga 2.39
10 Cl 0.2332 0.7668 0.2332  1 Ga 2.39

Output
calculated volume	26.90	A^3/atom
total moment	0.00	μB/f.u.
E above lowest polymorph	0.11	eV per formula unit
symmetry	Fm-3m, No. 225
formation energy (no corrections)	-1.57	eV per atom
Fermi-level density of states	0.00	states/eV/f.u.